# RbMoNO2

An optimized crystal structure of RbMoNO2 (GGA+U, Alexandria via LeMat-Bulk).

abc: 4.0739 4.0739 3.9973
angles: 90.00 90.00 90.00
With the nearest neighbours (Å) after each atom.
Positions (direct):
Rb1 0.0000 0.0000 0.0000  8 O 2.85, 4 N 2.88
Mo1 0.5000 0.5000 0.5000  2 N 2.00, 4 O 2.04
N1 0.5000 0.5000 0.0000  2 Mo 2.00
O1 0.0000 0.5000 0.5000  2 Mo 2.04
O2 0.5000 0.0000 0.5000  2 Mo 2.04

## Properties
- Space group: P4/mmm
- Uncorrected energy: -30.68 eV per cell